The following is a DFT calculation (GGA+U) of crystalline FeSi2BO6 at its relaxed geometry.

Lattice parameters (Å, degrees): 7.326 7.326 5.421 111.71 111.71 91.79
Element x y z (fractional)
Fe1 0.248 0.752 0.750
Fe2 0.752 0.248 0.250
Si1 0.167 0.335 0.145
Si2 0.335 0.167 0.645
Si3 0.665 0.833 0.355
Si4 0.833 0.665 0.855
B1 0.249 0.751 0.250
B2 0.751 0.249 0.750
O1 0.076 0.736 0.987
O2 0.233 0.579 0.325
O3 0.238 0.267 0.878
O4 0.264 0.924 0.513
O5 0.267 0.238 0.378
O6 0.421 0.767 0.175
O7 0.579 0.233 0.825
O8 0.733 0.762 0.622
O9 0.736 0.076 0.487
O10 0.762 0.733 0.122
O11 0.767 0.421 0.675
O12 0.924 0.264 0.013

Properties
Total energy (eV/atom): -7.53
Magnetic moment (μB per cell): 5.999